# 1
Compound: CoRuCl3
Source: the Alexandria database
Functional: PBE-GGA
Structure: relaxed

Lattice parameters (Å, degrees): 8.2213 6.2689 8.4230 90.00 118.16 90.00
With the nearest neighbours (Å) after each atom.
Fractional coordinates of all 20 atoms:
1 Co 0.1835 0.2052 0.1101  4 Cl 2.33-2.47
2 Co 0.1835 0.2948 0.6101  4 Cl 2.33-2.47
3 Co 0.8165 0.7052 0.3899  4 Cl 2.33-2.47
4 Co 0.8165 0.7948 0.8899  4 Cl 2.33-2.47
5 Ru 0.4297 0.7341 0.0546  6 Cl 2.35-2.49
6 Ru 0.4297 0.7659 0.5546  6 Cl 2.35-2.49
7 Ru 0.5703 0.2341 0.4454  6 Cl 2.35-2.49
8 Ru 0.5703 0.2659 0.9454  6 Cl 2.35-2.49
9 Cl 0.1344 0.6304 0.4748  2 Co 2.33-2.41, 1 Ru 2.35
10 Cl 0.1344 0.8696 0.9748  2 Co 2.33-2.41, 1 Ru 2.35
11 Cl 0.2720 0.1034 0.4060  2 Co 2.33-2.47, 2 Ru 2.46-2.49
12 Cl 0.2720 0.3966 0.9060  2 Co 2.33-2.47, 2 Ru 2.46-2.49
13 Cl 0.4100 0.5618 0.2987  3 Ru 2.39-2.44
14 Cl 0.4100 0.9382 0.7987  3 Ru 2.39-2.44
15 Cl 0.5900 0.0618 0.2013  3 Ru 2.39-2.44
16 Cl 0.5900 0.4382 0.7013  3 Ru 2.39-2.44
17 Cl 0.7280 0.6034 0.0940  2 Co 2.33-2.47, 2 Ru 2.46-2.49
18 Cl 0.7280 0.8966 0.5940  2 Co 2.33-2.47, 2 Ru 2.46-2.49
19 Cl 0.8656 0.1304 0.0252  2 Co 2.33-2.41, 1 Ru 2.35
20 Cl 0.8656 0.3696 0.5252  2 Co 2.33-2.41, 1 Ru 2.35

Calculated values
formation energy without anion corrections = -0.028 eV/atom
spin magnetization = 8.00 μB/cell
symmetry = P2_1/c (14)
DOS at the Fermi energy = 8.09 states/eV per cell


# 2
Compound: Sr2Sn2Bi
Source: the Alexandria database
Functional: PBE-GGA
Structure: relaxed

Lattice parameters (Å, degrees): 7.3383 7.3383 7.3383 134.82 134.82 65.82
With the nearest neighbours (Å) after each atom.
Fractional coordinates of all 5 atoms:
1 Sr 0.2500 0.7500 0.5000  4 Sn 3.32
2 Sr 0.7500 0.2500 0.5000  4 Sn 3.32
3 Sn 0.1079 0.1079 0.0000  1 Sn 2.66
4 Sn 0.8921 0.8921 0.0000  1 Sn 2.66
5 Bi 0.5000 0.5000 0.0000  8 Sr 4.18, 8 Sn 4.20

Calculated values
formation energy = -0.09 eV/atom
spin magnetization = 0.00 μB/cell
symmetry = I4/mmm (139)
DOS at the Fermi energy = 5.67 states/eV per cell


# 3
Compound: LiIr2Au
Source: the Alexandria database
Functional: PBE-GGA
Structure: relaxed

Lattice parameters (Å, degrees): 2.6901 4.1802 5.3544 90.00 90.00 90.00
With the nearest neighbours (Å) after each atom.
Fractional coordinates of all 4 atoms:
1 Li 0.0000 0.0000 0.0000  2 Au 2.68, 2 Li 2.69, 8 Ir 2.77
2 Ir 0.5000 0.5000 0.2304  3 Ir 2.47-2.69
3 Ir 0.5000 0.5000 0.7696  3 Ir 2.47-2.69
4 Au 0.0000 0.0000 0.5000  2 Li 2.68, 2 Au 2.69, 8 Ir 2.87

Calculated values
formation energy = 0.22 eV/atom
spin magnetization = 0.00 μB/cell
symmetry = Pmmm (47)
DOS at the Fermi energy = 5.32 states/eV per cell


Q: Which of these has the highest spin magnetization?
A: CoRuCl3


Q: Look up the DOS at the Fermi energy of the second one.
A: 5.67 states/eV per cell


Q: Look up the spin magnetization of the third one.
A: 0.00 μB/cell